First-principles (PBEsol) data for an optimized crystal structure of CdBrCl, as listed in Alexandria via LeMat-Bulk.

Lattice parameters (Å, degrees): 3.888 3.888 6.230 90.00 90.00 120.00
Element x y z (fractional)
Cd 0.333 0.667 0.657
Br 0.000 0.000 0.913
Cl 0.667 0.333 0.431

Summary:
Space-group type = P3m1, No. 156
Total DFT energy (no corrections) = -7.9 eV for the cell shown
Formation energy without anion corrections = -0.95 eV/atom
M_tot = 0.00 μB per atom

---

First-principles (PBEsol) data for an optimized crystal structure of Zn2NiSbPt, as listed in Alexandria via LeMat-Bulk.

Lattice parameters (Å, degrees): 4.675 4.675 4.666 90.00 90.00 90.00
Element x y z (fractional)
Sb 0.500 0.500 0.500
Zn 0.000 0.500 0.000
Zn 0.500 0.000 0.000
Pt 0.000 0.000 0.000
Ni 0.000 0.000 0.500

Summary:
Space-group type = P4/mmm, No. 123
Total DFT energy (no corrections) = -18.5 eV for the cell shown
Formation energy without anion corrections = 0.47 eV/atom
M_tot = 0.16 μB per atom

---

First-principles (PBEsol) data for an optimized crystal structure of Cd4OsCl, as listed in Alexandria via LeMat-Bulk.

Lattice parameters (Å, degrees): 5.514 5.514 5.514 60.00 60.00 60.00
Element x y z (fractional)
Cd 0.374 0.374 0.374
Cd 0.374 0.374 0.877
Cd 0.877 0.374 0.374
Cd 0.374 0.877 0.374
Cl 0.750 0.750 0.750
Os 0.000 0.000 0.000

Summary:
Space-group type = F-43m, No. 216
Total DFT energy (no corrections) = -14.7 eV for the cell shown
Formation energy without anion corrections = 0.73 eV/atom
M_tot = 0.16 μB per atom